1.
First-principles (GGA-PBE) data for a geometry-optimized BaCd2Pb2 structure, as listed in Alexandria.

Summary:
- energy relative to the elements (eV per atom) = -0.1382
- crystal system = tetragonal
- V (Å³ per cell) = 317.9

a = 9.1089 Å, b = 9.1089 Å, c = 3.8313 Å
α = 90.00°, β = 90.00°, γ = 90.00°
Positions (direct):
Pb (0.3685, 0.8685, 0.0000)
Pb (0.8685, 0.6315, 0.0000)
Pb (0.6315, 0.1315, 0.0000)
Pb (0.1315, 0.3685, 0.0000)
Ba (0.0000, 0.0000, 0.0000)
Ba (0.5000, 0.5000, 0.0000)
Cd (0.1605, 0.6605, 0.5000)
Cd (0.6605, 0.8395, 0.5000)
Cd (0.8395, 0.3395, 0.5000)
Cd (0.3395, 0.1605, 0.5000)

2.
First-principles (GGA-PBE) data for a geometry-optimized MgP2 structure, as listed in Alexandria.

Summary:
- energy relative to the elements (eV per atom) = -0.1203
- crystal system = monoclinic
- V (Å³ per cell) = 111.0

a = 5.7182 Å, b = 5.7182 Å, c = 5.4703 Å
α = 77.28°, β = 77.28°, γ = 39.69°
Positions (direct):
Mg (0.1330, 0.1330, 0.5278)
Mg (0.8670, 0.8670, 0.4722)
P (0.4910, 0.4910, 0.7981)
P (0.7147, 0.7147, 0.1584)
P (0.5090, 0.5090, 0.2019)
P (0.2853, 0.2853, 0.8416)

3.
First-principles (GGA-PBE) data for a geometry-optimized Er2MgGa3Cu4 structure, as listed in Alexandria.

Summary:
- energy relative to the elements (eV per atom) = -0.3623
- crystal system = tetragonal
- V (Å³ per cell) = 175.6

a = 4.0518 Å, b = 4.0518 Å, c = 10.6952 Å
α = 90.00°, β = 90.00°, γ = 90.00°
Positions (direct):
Er (0.5000, 0.0000, 0.2342)
Er (0.0000, 0.5000, 0.7658)
Mg (0.5000, 0.5000, 0.5000)
Ga (0.0000, 0.0000, 0.5000)
Ga (0.5000, 0.0000, 0.8722)
Ga (0.0000, 0.5000, 0.1278)
Cu (0.5000, 0.5000, 0.0000)
Cu (0.0000, 0.0000, 0.0000)
Cu (0.5000, 0.0000, 0.6495)
Cu (0.0000, 0.5000, 0.3505)

4.
First-principles (GGA-PBE) data for a geometry-optimized K3Pa2TaN6 structure, as listed in Alexandria.

Summary:
- crystal system = monoclinic
- V (Å³ per cell) = 199.8
- ΔE_f (raw) (meV per atom) = -1057

a = 5.9918 Å, b = 5.9918 Å, c = 6.7273 Å
α = 98.49°, β = 98.49°, γ = 120.01°
Positions (direct):
K (0.1609, 0.8391, 0.5000)
K (0.8391, 0.1609, 0.5000)
K (0.5000, 0.5000, 0.5000)
Pa (0.3332, 0.6668, 0.0000)
Pa (0.6668, 0.3332, 0.0000)
Ta (0.0000, 0.0000, 0.0000)
N (0.9454, 0.6292, 0.8354)
N (0.7381, 0.7381, 0.1641)
N (0.0546, 0.3708, 0.1646)
N (0.6292, 0.9454, 0.8354)
N (0.2619, 0.2619, 0.8359)
N (0.3708, 0.0546, 0.1646)